Entry 1:
# DyGa3PdAu, relaxed, DFT PBE-GGA
data_DyGa3PdAu
_cell_length_a 6.5456
_cell_length_b 13.4033
_cell_length_c 5.9571
_cell_angle_alpha 90.00
_cell_angle_beta 90.00
_cell_angle_gamma 90.00
_space_group_name_H-M_alt 'C m c m'
_space_group_IT_number 63
_space_group_name_Hall '-C 2c 2'
loop_
_atom_site_label
_atom_site_type_symbol
_atom_site_fract_x
_atom_site_fract_y
_atom_site_fract_z
_atom_site_occupancy
Dy1 Dy 0.0000 0.2134 0.2500 1
Ga1 Ga 0.0000 0.1862 0.7500 1
Ga2 Ga 0.1962 0.5000 0.0000 1
Pd1 Pd 0.0000 0.0054 0.7500 1
Au1 Au 0.0000 0.3663 0.7500 1
# Formation enthalpy at 0 K ... -313 meV/atom
# Crystal system ... orthorhombic

---

Entry 2:
# DyGa2Pd2Au, relaxed, DFT PBE-GGA
data_DyGa2Pd2Au
_cell_length_a 4.4544
_cell_length_b 4.4544
_cell_length_c 6.3277
_cell_angle_alpha 90.00
_cell_angle_beta 90.00
_cell_angle_gamma 120.00
_space_group_name_H-M_alt 'P -3 m 1'
_space_group_IT_number 164
_space_group_name_Hall '-P 3 2"'
loop_
_atom_site_label
_atom_site_type_symbol
_atom_site_fract_x
_atom_site_fract_y
_atom_site_fract_z
_atom_site_occupancy
Dy1 Dy 0.0000 0.0000 0.0000 1
Ga1 Ga 0.3333 0.6667 0.7150 1
Pd1 Pd 0.3333 0.6667 0.2840 1
Au1 Au 0.0000 0.0000 0.5000 1
# Formation enthalpy at 0 K ... -684 meV/atom
# Crystal system ... trigonal

---

Entry 3:
# Dy2Ga4Pd3Au, relaxed, DFT PBE-GGA
data_Dy2Ga4Pd3Au
_cell_length_a 4.1724
_cell_length_b 4.1724
_cell_length_c 10.9067
_cell_angle_alpha 90.00
_cell_angle_beta 90.00
_cell_angle_gamma 90.00
_space_group_name_H-M_alt 'P -4 m 2'
_space_group_IT_number 115
loop_
_space_group_symop_operation_xyz
'x,y,z'
'y,-x,-z'
'-x,-y,z'
'-y,x,-z'
'-x,y,z'
'-y,-x,-z'
'x,-y,z'
'y,x,-z'
loop_
_atom_site_label
_atom_site_type_symbol
_atom_site_fract_x
_atom_site_fract_y
_atom_site_fract_z
_atom_site_occupancy
Dy1 Dy 0.0000 0.5000 0.2405 1
Ga1 Ga 0.0000 0.0000 0.0000 1
Ga2 Ga 0.0000 0.5000 0.6393 1
Ga3 Ga 0.5000 0.5000 0.0000 1
Pd1 Pd 0.0000 0.5000 0.8642 1
Pd2 Pd 0.5000 0.5000 0.5000 1
Au1 Au 0.0000 0.0000 0.5000 1
# Formation enthalpy at 0 K ... -737 meV/atom
# Crystal system ... tetragonal

---

Entry 4:
# Dy2Ga2Pd5Au, relaxed, DFT PBE-GGA
data_Dy2Ga2Pd5Au
_cell_length_a 9.7649
_cell_length_b 9.7649
_cell_length_c 3.7865
_cell_angle_alpha 90.00
_cell_angle_beta 90.00
_cell_angle_gamma 90.00
_space_group_name_H-M_alt 'P 4/m b m'
_space_group_IT_number 127
_space_group_name_Hall '-P 4 2ab'
loop_
_atom_site_label
_atom_site_type_symbol
_atom_site_fract_x
_atom_site_fract_y
_atom_site_fract_z
_atom_site_occupancy
Dy1 Dy 0.1780 0.3220 0.0000 1
Ga1 Ga 0.1207 0.6207 0.0000 1
Pd1 Pd 0.0000 0.5000 0.5000 1
Pd2 Pd 0.0652 0.7933 0.5000 1
Au1 Au 0.0000 0.0000 0.0000 1
# Formation enthalpy at 0 K ... -701 meV/atom
# Crystal system ... tetragonal

---

Entry 5:
# PmDyGaAu, relaxed, DFT PBE-GGA
data_PmDyGaAu
_cell_length_a 4.5694
_cell_length_b 3.8640
_cell_length_c 11.3064
_cell_angle_alpha 90.00
_cell_angle_beta 90.00
_cell_angle_gamma 90.00
_space_group_name_H-M_alt 'A m m 2'
_space_group_IT_number 38
loop_
_space_group_symop_operation_xyz
'x,y,z'
'-x,-y,z'
'-x,y,z'
'x,-y,z'
'x,y+1/2,z+1/2'
'-x,-y+1/2,z+1/2'
'-x,y+1/2,z+1/2'
'x,-y+1/2,z+1/2'
loop_
_atom_site_label
_atom_site_type_symbol
_atom_site_fract_x
_atom_site_fract_y
_atom_site_fract_z
_atom_site_occupancy
Pm1 Pm 0.0000 0.0000 0.0000 1
Dy1 Dy 0.5000 0.0000 0.7141 1
Ga1 Ga 0.0000 0.0000 0.2704 1
Au1 Au 0.5000 0.0000 0.4294 1
# Formation enthalpy at 0 K ... -690 meV/atom
# Crystal system ... orthorhombic

---

Entry 6:
# PmDyGa2Au2, relaxed, DFT PBE-GGA
data_PmDyGa2Au2
_cell_length_a 4.5566
_cell_length_b 4.5566
_cell_length_c 7.2720
_cell_angle_alpha 90.00
_cell_angle_beta 90.00
_cell_angle_gamma 120.00
_space_group_name_H-M_alt 'P -3 m 1'
_space_group_IT_number 164
_space_group_name_Hall '-P 3 2"'
loop_
_atom_site_label
_atom_site_type_symbol
_atom_site_fract_x
_atom_site_fract_y
_atom_site_fract_z
_atom_site_occupancy
Pm1 Pm 0.0000 0.0000 0.0000 1
Dy1 Dy 0.0000 0.0000 0.5000 1
Ga1 Ga 0.3333 0.6667 0.7379 1
Au1 Au 0.3333 0.6667 0.2663 1
# Formation enthalpy at 0 K ... -783 meV/atom
# Crystal system ... trigonal

---

Entry 7:
# PmDyGaAu, relaxed, DFT PBE-GGA
data_PmDyGaAu
_cell_length_a 7.3119
_cell_length_b 7.3119
_cell_length_c 7.3119
_cell_angle_alpha 90.00
_cell_angle_beta 90.00
_cell_angle_gamma 90.00
_space_group_name_H-M_alt 'F -4 3 m'
_space_group_IT_number 216
_space_group_name_Hall 'F -4 2 3'
loop_
_atom_site_label
_atom_site_type_symbol
_atom_site_fract_x
_atom_site_fract_y
_atom_site_fract_z
_atom_site_occupancy
Pm1 Pm 0.0000 0.0000 0.0000 1
Dy1 Dy 0.0000 0.0000 0.5000 1
Ga1 Ga 0.2500 0.2500 0.7500 1
Au1 Au 0.2500 0.2500 0.2500 1
# Formation enthalpy at 0 K ... -660 meV/atom
# Crystal system ... cubic

---

Entry 8:
# PrDyGaAu, relaxed, DFT PBE-GGA
data_PrDyGaAu
_cell_length_a 4.5613
_cell_length_b 3.8826
_cell_length_c 11.5048
_cell_angle_alpha 90.00
_cell_angle_beta 90.00
_cell_angle_gamma 90.00
_space_group_name_H-M_alt 'A m m 2'
_space_group_IT_number 38
loop_
_space_group_symop_operation_xyz
'x,y,z'
'-x,-y,z'
'-x,y,z'
'x,-y,z'
'x,y+1/2,z+1/2'
'-x,-y+1/2,z+1/2'
'-x,y+1/2,z+1/2'
'x,-y+1/2,z+1/2'
loop_
_atom_site_label
_atom_site_type_symbol
_atom_site_fract_x
_atom_site_fract_y
_atom_site_fract_z
_atom_site_occupancy
Pr1 Pr 0.0000 0.0000 0.0000 1
Dy1 Dy 0.5000 0.0000 0.2839 1
Ga1 Ga 0.5000 0.0000 0.5708 1
Au1 Au 0.0000 0.0000 0.7271 1
# Formation enthalpy at 0 K ... -677 meV/atom
# Crystal system ... orthorhombic